Ac8Si5Se | the Alexandria database | PBE | optimized geometry; E_form (uncorrected) = -9.7 eV per formula unit; crystal system = tetragonal
1.0
-4.8330 4.8330 4.8292
4.8330 -4.8330 4.8292
4.8330 4.8330 -4.8292
Ac Si Se
8 5 1
direct
0.1273 0.2485 0.7474
0.1299 0.7408 0.7513
0.2592 0.0105 0.3891
0.5011 0.3799 0.2526
0.6201 0.8727 0.1212
0.6213 0.8701 0.6109
0.7515 0.4989 0.8788
0.9895 0.3787 0.2487
0.2472 0.6271 0.1256
0.3729 0.4985 0.6200
0.5015 0.1216 0.8744
0.7500 0.2500 0.5000
0.8784 0.7528 0.3800
0.0000 0.0000 0.0000

---

Ac2SiSe | the Alexandria database | PBE | optimized geometry; E_form (uncorrected) = -4.7 eV per formula unit; crystal system = trigonal; polymorph energy (0 for the lowest one) = 0.095 eV/atom
1.0
2.2418 1.2943 7.7748
-2.2418 1.2943 7.7748
0.0000 -2.5886 7.7748
Ac Si Se
2 1 1
direct
0.0000 0.0000 0.0000
0.1803 0.1803 0.1803
0.5902 0.5902 0.5902
0.4212 0.4212 0.4212

---

What did the first record say?
Ac8Si5Se | the Alexandria database | PBE | optimized geometry; E_form (uncorrected) = -9.7 eV per formula unit; crystal system = tetragonal
1.0
-4.8330 4.8330 4.8292
4.8330 -4.8330 4.8292
4.8330 4.8330 -4.8292
Ac Si Se
8 5 1
direct
0.1273 0.2485 0.7474
0.1299 0.7408 0.7513
0.2592 0.0105 0.3891
0.5011 0.3799 0.2526
0.6201 0.8727 0.1212
0.6213 0.8701 0.6109
0.7515 0.4989 0.8788
0.9895 0.3787 0.2487
0.2472 0.6271 0.1256
0.3729 0.4985 0.6200
0.5015 0.1216 0.8744
0.7500 0.2500 0.5000
0.8784 0.7528 0.3800
0.0000 0.0000 0.0000

---

- Which value of E_form (uncorrected) does entry 2 give?
  -4.7 eV per formula unit

---

- Among the records above, which one has the highest E_form (uncorrected)?
  Ac2SiSe